No. 1
DFT (PBE) results for a relaxed structure of SiAsRhSe2. Values from VASP.

Values from the calculation:
raw formation energy	0.606	eV per atom
excess energy over the best structure of this formula in the dataset	0.0	meV/atom
density of states at the Fermi level	4.7	states/eV/cell
symmetry	P4/mmm, No. 123

Quantum ESPRESSO input file:
```
&SYSTEM
  ibrav = 0, nat = 5, ntyp = 4
/
ATOMIC_SPECIES
Si 28.09 Si.upf
As 74.92 As.upf
Rh 102.91 Rh.upf
Se 78.96 Se.upf
CELL_PARAMETERS angstrom
5.0747 0.0000 0.0000
0.0000 5.0747 0.0000
0.0000 0.0000 4.5273
ATOMIC_POSITIONS crystal
Si 0.0000 0.0000 0.0000
As 0.5000 0.5000 0.0000
Rh 0.5000 0.5000 0.5000
Se 0.0000 0.5000 0.5000
Se 0.5000 0.0000 0.5000
```

---

No. 2
DFT (PBE) results for a relaxed structure of SiAsRhSe2. Values from VASP.

Values from the calculation:
raw formation energy	0.789	eV per atom
excess energy over the best structure of this formula in the dataset	183.7	meV/atom
density of states at the Fermi level	4.3	states/eV/cell
symmetry	P4/mmm, No. 123

Quantum ESPRESSO input file:
```
&SYSTEM
  ibrav = 0, nat = 5, ntyp = 4
/
ATOMIC_SPECIES
Si 28.09 Si.upf
As 74.92 As.upf
Rh 102.91 Rh.upf
Se 78.96 Se.upf
CELL_PARAMETERS angstrom
4.6995 0.0000 0.0000
0.0000 4.6995 0.0000
0.0000 0.0000 4.7007
ATOMIC_POSITIONS crystal
Si 0.0000 0.0000 0.0000
As 0.0000 0.0000 0.5000
Rh 0.5000 0.5000 0.5000
Se 0.0000 0.5000 0.0000
Se 0.5000 0.0000 0.0000
```

---

No. 3
DFT (PBE) results for a relaxed structure of Sm4AsRhSe2. Values from VASP.

Values from the calculation:
raw formation energy	-1.439	eV per atom
density of states at the Fermi level	6.2	states/eV/cell
symmetry	P2/m, No. 10

Quantum ESPRESSO input file:
```
&SYSTEM
  ibrav = 0, nat = 8, ntyp = 4
/
ATOMIC_SPECIES
Sm 150.36 Sm.upf
As 74.92 As.upf
Rh 102.91 Rh.upf
Se 78.96 Se.upf
CELL_PARAMETERS angstrom
7.2729 0.0000 0.0000
0.0000 4.1289 0.0000
-2.3538 0.0000 6.9532
ATOMIC_POSITIONS crystal
Sm 0.2366 0.0000 0.2312
Sm 0.2473 0.5000 0.7648
Sm 0.7527 0.5000 0.2352
Sm 0.7634 0.0000 0.7688
As 0.5000 0.0000 0.0000
Rh 0.0000 0.5000 0.0000
Se 0.0000 0.0000 0.5000
Se 0.5000 0.5000 0.5000
```

---

No. 4
DFT (PBE) results for a relaxed structure of Sm6As2RhSe3. Values from VASP.

Values from the calculation:
raw formation energy	-1.547	eV per atom
density of states at the Fermi level	6.1	states/eV/cell
symmetry	C2/m, No. 12

Quantum ESPRESSO input file:
```
&SYSTEM
  ibrav = 0, nat = 12, ntyp = 4
/
ATOMIC_SPECIES
Sm 150.36 Sm.upf
As 74.92 As.upf
Rh 102.91 Rh.upf
Se 78.96 Se.upf
CELL_PARAMETERS angstrom
9.1469 -2.0784 0.0000
9.1469 2.0784 0.0000
-2.0006 0.0000 8.2232
ATOMIC_POSITIONS crystal
Sm 0.0011 0.0011 0.2367
Sm 0.3309 0.3309 0.4223
Sm 0.3398 0.3398 0.9136
Sm 0.6602 0.6602 0.0864
Sm 0.6691 0.6691 0.5777
Sm 0.9989 0.9989 0.7633
As 0.1662 0.1662 0.3342
As 0.8338 0.8338 0.6658
Rh 0.5000 0.5000 0.0000
Se 0.1699 0.1699 0.8328
Se 0.5000 0.5000 0.5000
Se 0.8301 0.8301 0.1672
```

---

No. 5
DFT (PBE) results for a relaxed structure of SmAsRhSe. Values from VASP.

Values from the calculation:
raw formation energy	-1.032	eV per atom
density of states at the Fermi level	5.8	states/eV/cell
symmetry	P4/nmm, No. 129

Quantum ESPRESSO input file:
```
&SYSTEM
  ibrav = 0, nat = 8, ntyp = 4
/
ATOMIC_SPECIES
Sm 150.36 Sm.upf
As 74.92 As.upf
Rh 102.91 Rh.upf
Se 78.96 Se.upf
CELL_PARAMETERS angstrom
4.1361 0.0000 0.0000
0.0000 4.1361 0.0000
0.0000 0.0000 9.5412
ATOMIC_POSITIONS crystal
Sm 0.2500 0.2500 0.2348
Sm 0.7500 0.7500 0.7652
As 0.2500 0.2500 0.6520
As 0.7500 0.7500 0.3480
Rh 0.2500 0.7500 0.5000
Rh 0.7500 0.2500 0.5000
Se 0.2500 0.7500 0.0000
Se 0.7500 0.2500 0.0000
```

---

No. 6
DFT (PBE) results for a relaxed structure of Sm6AsRh2Se3. Values from VASP.

Values from the calculation:
raw formation energy	-1.379	eV per atom
density of states at the Fermi level	5.4	states/eV/cell
symmetry	C2/m, No. 12

Quantum ESPRESSO input file:
```
&SYSTEM
  ibrav = 0, nat = 12, ntyp = 4
/
ATOMIC_SPECIES
Sm 150.36 Sm.upf
As 74.92 As.upf
Rh 102.91 Rh.upf
Se 78.96 Se.upf
CELL_PARAMETERS angstrom
9.2288 -2.0539 0.0000
9.2288 2.0539 0.0000
-2.3459 0.0000 8.2188
ATOMIC_POSITIONS crystal
Sm 0.0086 0.0086 0.2490
Sm 0.3283 0.3283 0.4242
Sm 0.3327 0.3327 0.8923
Sm 0.6673 0.6673 0.1077
Sm 0.6717 0.6717 0.5758
Sm 0.9914 0.9914 0.7510
As 0.5000 0.5000 0.0000
Rh 0.1698 0.1698 0.3407
Rh 0.8302 0.8302 0.6593
Se 0.1616 0.1616 0.8404
Se 0.5000 0.5000 0.5000
Se 0.8384 0.8384 0.1596
```

---

No. 7
DFT (PBE) results for a relaxed structure of SnAs2RhSe. Values from VASP.

Values from the calculation:
raw formation energy	0.244	eV per atom
excess energy over the best structure of this formula in the dataset	0.0	meV/atom
density of states at the Fermi level	3.5	states/eV/cell
symmetry	P4/mmm, No. 123

Quantum ESPRESSO input file:
```
&SYSTEM
  ibrav = 0, nat = 5, ntyp = 4
/
ATOMIC_SPECIES
Sn 118.71 Sn.upf
As 74.92 As.upf
Rh 102.91 Rh.upf
Se 78.96 Se.upf
CELL_PARAMETERS angstrom
4.6988 0.0000 0.0000
0.0000 4.6988 0.0000
0.0000 0.0000 5.4417
ATOMIC_POSITIONS crystal
Sn 0.0000 0.0000 0.0000
As 0.0000 0.5000 0.5000
As 0.5000 0.0000 0.5000
Rh 0.5000 0.5000 0.5000
Se 0.5000 0.5000 0.0000
```

---

No. 8
DFT (PBE) results for a relaxed structure of SrAsRhSe2. Values from VASP.

Values from the calculation:
raw formation energy	-0.584	eV per atom
excess energy over the best structure of this formula in the dataset	0.0	meV/atom
density of states at the Fermi level	2.6	states/eV/cell
symmetry	P4/mmm, No. 123

Quantum ESPRESSO input file:
```
&SYSTEM
  ibrav = 0, nat = 5, ntyp = 4
/
ATOMIC_SPECIES
Sr 87.62 Sr.upf
As 74.92 As.upf
Rh 102.91 Rh.upf
Se 78.96 Se.upf
CELL_PARAMETERS angstrom
5.2608 0.0000 0.0000
0.0000 5.2608 0.0000
0.0000 0.0000 4.5379
ATOMIC_POSITIONS crystal
Sr 0.0000 0.0000 0.0000
As 0.5000 0.5000 0.0000
Rh 0.5000 0.5000 0.5000
Se 0.0000 0.5000 0.5000
Se 0.5000 0.0000 0.5000
```

---

No. 9
DFT (PBE) results for a relaxed structure of SrAsRhSe2. Values from VASP.

Values from the calculation:
raw formation energy	1.090	eV per atom
excess energy over the best structure of this formula in the dataset	1673.6	meV/atom
density of states at the Fermi level	9.2	states/eV/cell
symmetry	P4/mmm, No. 123

Quantum ESPRESSO input file:
```
&SYSTEM
  ibrav = 0, nat = 5, ntyp = 4
/
ATOMIC_SPECIES
Sr 87.62 Sr.upf
As 74.92 As.upf
Rh 102.91 Rh.upf
Se 78.96 Se.upf
CELL_PARAMETERS angstrom
5.6277 0.0000 0.0000
0.0000 5.6277 0.0000
0.0000 0.0000 5.6203
ATOMIC_POSITIONS crystal
Sr 0.0000 0.0000 0.0000
As 0.0000 0.0000 0.5000
Rh 0.5000 0.5000 0.5000
Se 0.0000 0.5000 0.0000
Se 0.5000 0.0000 0.0000
```

---

No. 10
DFT (PBE) results for a relaxed structure of TaAsRhSe2. Values from VASP.

Values from the calculation:
raw formation energy	0.594	eV per atom
excess energy over the best structure of this formula in the dataset	0.0	meV/atom
density of states at the Fermi level	6.9	states/eV/cell
symmetry	P4/mmm, No. 123

Quantum ESPRESSO input file:
```
&SYSTEM
  ibrav = 0, nat = 5, ntyp = 4
/
ATOMIC_SPECIES
Ta 180.95 Ta.upf
As 74.92 As.upf
Rh 102.91 Rh.upf
Se 78.96 Se.upf
CELL_PARAMETERS angstrom
4.9436 0.0000 0.0000
0.0000 4.9436 0.0000
0.0000 0.0000 5.0137
ATOMIC_POSITIONS crystal
Ta 0.0000 0.0000 0.0000
As 0.0000 0.0000 0.5000
Rh 0.5000 0.5000 0.5000
Se 0.0000 0.5000 0.0000
Se 0.5000 0.0000 0.0000
```

---

No. 11
DFT (PBE) results for a relaxed structure of TaAs2RhSe. Values from VASP.

Values from the calculation:
raw formation energy	0.687	eV per atom
excess energy over the best structure of this formula in the dataset	0.0	meV/atom
density of states at the Fermi level	5.6	states/eV/cell
symmetry	P4/mmm, No. 123

Quantum ESPRESSO input file:
```
&SYSTEM
  ibrav = 0, nat = 5, ntyp = 4
/
ATOMIC_SPECIES
Ta 180.95 Ta.upf
As 74.92 As.upf
Rh 102.91 Rh.upf
Se 78.96 Se.upf
CELL_PARAMETERS angstrom
4.9605 0.0000 0.0000
0.0000 4.9605 0.0000
0.0000 0.0000 4.9006
ATOMIC_POSITIONS crystal
Ta 0.0000 0.0000 0.0000
As 0.0000 0.5000 0.0000
As 0.5000 0.0000 0.0000
Rh 0.5000 0.5000 0.5000
Se 0.0000 0.0000 0.5000
```

---

No. 12
DFT (PBE) results for a relaxed structure of TaAsRhSe2. Values from VASP.

Values from the calculation:
raw formation energy	0.819	eV per atom
excess energy over the best structure of this formula in the dataset	225.2	meV/atom
density of states at the Fermi level	5.5	states/eV/cell
symmetry	P4/mmm, No. 123

Quantum ESPRESSO input file:
```
&SYSTEM
  ibrav = 0, nat = 5, ntyp = 4
/
ATOMIC_SPECIES
Ta 180.95 Ta.upf
As 74.92 As.upf
Rh 102.91 Rh.upf
Se 78.96 Se.upf
CELL_PARAMETERS angstrom
4.8062 0.0000 0.0000
0.0000 4.8062 0.0000
0.0000 0.0000 4.6585
ATOMIC_POSITIONS crystal
Ta 0.0000 0.0000 0.0000
As 0.5000 0.5000 0.0000
Rh 0.5000 0.5000 0.5000
Se 0.0000 0.5000 0.5000
Se 0.5000 0.0000 0.5000
```